Below is a relaxed structure of Dy2ZnGe, with properties calculated at the PBE-GGA level.

Computed properties:
Crystal system: monoclinic
Volume: 23.41 Å³/atom
E_form: -0.61 eV per atom
Spin magnetization: 0.000 μB per atom
Calculated total energy: -4.381 eV per atom

Geometry as CIF:
```
data_Dy2ZnGe
_chemical_formula_sum 'Dy4 Zn2 Ge2'
_symmetry_space_group_name_H-M 'P 1 21/m 1'
_symmetry_Int_Tables_number 11
_cell_length_a 5.815
_cell_length_b 4.094
_cell_length_c 8.327
_cell_angle_alpha 90.00
_cell_angle_beta 109.17
_cell_angle_gamma 90.00
loop_
_symmetry_equiv_pos_as_xyz
'x,y,z'
'-x,-y,-z'
'-x,y+1/2,-z'
'x,-y+1/2,z'
loop_
_atom_site_label
_atom_site_type_symbol
_atom_site_fract_x
_atom_site_fract_y
_atom_site_fract_z
Dy1 Dy 0.212 0.250 0.430
Dy2 Dy 0.288 0.750 0.070
Zn1 Zn 0.139 0.250 0.787
Ge1 Ge 0.367 0.750 0.711
```

Below is a relaxed structure of Dy4Zn5Ge6, with properties calculated at the PBE-GGA level.

Computed properties:
Crystal system: orthorhombic
Volume: 20.14 Å³/atom
E_form: -0.55 eV per atom
Spin magnetization: 0.000 μB per atom
Calculated total energy: -4.051 eV per atom

Geometry as CIF:
```
data_Dy4Zn5Ge6
_chemical_formula_sum 'Dy16 Zn20 Ge24'
_symmetry_space_group_name_H-M 'C m c 21'
_symmetry_Int_Tables_number 36
_cell_length_a 4.249
_cell_length_b 18.592
_cell_length_c 15.293
_cell_angle_alpha 90.00
_cell_angle_beta 90.00
_cell_angle_gamma 90.00
loop_
_symmetry_equiv_pos_as_xyz
'x,y,z'
'-x,-y,z+1/2'
'-x,y,z'
'x,-y,z+1/2'
'x+1/2,y+1/2,z'
'-x+1/2,-y+1/2,z+1/2'
'-x+1/2,y+1/2,z'
'x+1/2,-y+1/2,z+1/2'
loop_
_atom_site_label
_atom_site_type_symbol
_atom_site_fract_x
_atom_site_fract_y
_atom_site_fract_z
Dy1 Dy 0.000 0.020 0.000
Dy2 Dy 0.000 0.033 0.264
Dy3 Dy 0.000 0.168 0.803
Dy4 Dy 0.000 0.175 0.446
Zn1 Zn 0.000 0.151 0.127
Zn2 Zn 0.000 0.301 0.125
Zn3 Zn 0.000 0.345 0.776
Zn4 Zn 0.000 0.350 0.482
Zn5 Zn 0.000 0.434 0.186
Ge1 Ge 0.000 0.112 0.618
Ge2 Ge 0.000 0.223 0.986
Ge3 Ge 0.000 0.227 0.266
Ge4 Ge 0.000 0.431 0.909
Ge5 Ge 0.000 0.432 0.631
Ge6 Ge 0.000 0.440 0.356
```

Below is a relaxed structure of DyZnGe, with properties calculated at the PBE-GGA level.

Computed properties:
Crystal system: hexagonal
Volume: 20.44 Å³/atom
E_form: -0.64 eV per atom
Spin magnetization: 0.000 μB per atom
Calculated total energy: -4.134 eV per atom

Geometry as CIF:
```
data_DyZnGe
_chemical_formula_sum 'Dy1 Zn1 Ge1'
_symmetry_space_group_name_H-M 'P -6 m 2'
_symmetry_Int_Tables_number 187
_symmetry_space_group_name_Hall 'P -6 2'
_cell_length_a 4.1788
_cell_length_b 4.1788
_cell_length_c 4.0547
_cell_angle_alpha 90.00
_cell_angle_beta 90.00
_cell_angle_gamma 120.00
loop_
_atom_site_label
_atom_site_type_symbol
_atom_site_fract_x
_atom_site_fract_y
_atom_site_fract_z
Dy1 Dy 0.0000 0.0000 0.0000
Zn1 Zn 0.6667 0.3333 0.5000
Ge1 Ge 0.3333 0.6667 0.5000
```

Below is a relaxed structure of Dy2ZnGe, with properties calculated at the PBE-GGA level.

Computed properties:
Crystal system: trigonal
Volume: 33.37 Å³/atom
E_form: -0.02 eV per atom
Spin magnetization: 0.000 μB per atom
Calculated total energy: -3.793 eV per atom

Geometry as CIF:
```
data_Dy2ZnGe
_chemical_formula_sum 'Dy6 Zn3 Ge3'
_symmetry_space_group_name_H-M 'R -3 m'
_symmetry_Int_Tables_number 166
_symmetry_space_group_name_Hall '-R 3 2"'
_cell_length_a 4.0840
_cell_length_b 4.0840
_cell_length_c 27.7199
_cell_angle_alpha 90.00
_cell_angle_beta 90.00
_cell_angle_gamma 120.00
loop_
_atom_site_label
_atom_site_type_symbol
_atom_site_fract_x
_atom_site_fract_y
_atom_site_fract_z
Dy1 Dy 0.0000 0.0000 0.1112
Zn1 Zn 0.0000 0.0000 0.0000
Ge1 Ge 0.0000 0.0000 0.5000
```

Below is a relaxed structure of DyZn11Ge, with properties calculated at the PBE-GGA level.

Computed properties:
Crystal system: monoclinic
Volume: 16.19 Å³/atom
E_form: -0.11 eV per atom
Spin magnetization: 0.000 μB per atom
Calculated total energy: -1.899 eV per atom

Geometry as CIF:
```
data_DyZn11Ge
_chemical_formula_sum 'Dy2 Zn22 Ge2'
_symmetry_space_group_name_H-M 'C 1 2/m 1'
_symmetry_Int_Tables_number 12
_cell_length_a 5.293
_cell_length_b 12.698
_cell_length_c 6.767
_cell_angle_alpha 90.00
_cell_angle_beta 112.25
_cell_angle_gamma 90.00
loop_
_symmetry_equiv_pos_as_xyz
'x,y,z'
'-x,-y,-z'
'-x,y,-z'
'x,-y,z'
'x+1/2,y+1/2,z'
'-x+1/2,-y+1/2,-z'
'-x+1/2,y+1/2,-z'
'x+1/2,-y+1/2,z'
loop_
_atom_site_label
_atom_site_type_symbol
_atom_site_fract_x
_atom_site_fract_y
_atom_site_fract_z
Dy1 Dy 0.000 0.000 0.000
Zn1 Zn 0.000 0.500 0.500
Zn2 Zn 0.094 0.392 0.210
Zn3 Zn 0.184 0.180 0.352
Zn4 Zn 0.250 0.250 0.000
Ge1 Ge 0.000 0.000 0.500
```

Below is a relaxed structure of Dy2Zn3Ge, with properties calculated at the PBE-GGA level.

Computed properties:
Crystal system: orthorhombic
Volume: 20.03 Å³/atom
E_form: -0.53 eV per atom
Spin magnetization: 0.000 μB per atom
Calculated total energy: -3.466 eV per atom

Geometry as CIF:
```
data_Dy2Zn3Ge
_chemical_formula_sum 'Dy16 Zn24 Ge8'
_symmetry_space_group_name_H-M 'F m m m'
_symmetry_Int_Tables_number 69
_symmetry_space_group_name_Hall '-F 2 2'
_cell_length_a 7.204
_cell_length_b 8.777
_cell_length_c 15.207
_cell_angle_alpha 90.00
_cell_angle_beta 90.00
_cell_angle_gamma 90.00
loop_
_atom_site_label
_atom_site_type_symbol
_atom_site_fract_x
_atom_site_fract_y
_atom_site_fract_z
Dy1 Dy 0.247 0.000 0.000
Dy2 Dy 0.250 0.250 0.250
Zn1 Zn 0.000 0.000 0.165
Zn2 Zn 0.000 0.250 0.082
Ge1 Ge 0.000 0.000 0.333
```

Below is a relaxed structure of DyZn3Ge3, with properties calculated at the PBE-GGA level.

Computed properties:
Crystal system: cubic
Volume: 22.77 Å³/atom
E_form: 0.23 eV per atom
Spin magnetization: 0.000 μB per atom
Calculated total energy: -2.953 eV per atom

Geometry as CIF:
```
data_DyZn3Ge3
_chemical_formula_sum 'Dy2 Zn6 Ge6'
_symmetry_space_group_name_H-M 'P m -3 n'
_symmetry_Int_Tables_number 223
_symmetry_space_group_name_Hall '-P 4n 2 3'
_cell_length_a 6.831
_cell_length_b 6.831
_cell_length_c 6.831
_cell_angle_alpha 90.00
_cell_angle_beta 90.00
_cell_angle_gamma 90.00
loop_
_atom_site_label
_atom_site_type_symbol
_atom_site_fract_x
_atom_site_fract_y
_atom_site_fract_z
Dy1 Dy 0.000 0.000 0.000
Zn1 Zn 0.000 0.250 0.500
Ge1 Ge 0.000 0.500 0.250
```

Below is a relaxed structure of Dy3Zn3Ge, with properties calculated at the PBE-GGA level.

Computed properties:
Crystal system: orthorhombic
Volume: 22.43 Å³/atom
E_form: -0.44 eV per atom
Spin magnetization: 0.007 μB per atom
Calculated total energy: -3.621 eV per atom

Geometry as CIF:
```
data_Dy3Zn3Ge
_chemical_formula_sum 'Dy6 Zn6 Ge2'
_symmetry_space_group_name_H-M 'I m m 2'
_symmetry_Int_Tables_number 44
_cell_length_a 3.979
_cell_length_b 4.197
_cell_length_c 18.804
_cell_angle_alpha 90.00
_cell_angle_beta 90.00
_cell_angle_gamma 90.00
loop_
_symmetry_equiv_pos_as_xyz
'x,y,z'
'-x,-y,z'
'-x,y,z'
'x,-y,z'
'x+1/2,y+1/2,z+1/2'
'-x+1/2,-y+1/2,z+1/2'
'-x+1/2,y+1/2,z+1/2'
'x+1/2,-y+1/2,z+1/2'
loop_
_atom_site_label
_atom_site_type_symbol
_atom_site_fract_x
_atom_site_fract_y
_atom_site_fract_z
Dy1 Dy 0.000 0.000 0.000
Dy2 Dy 0.000 0.000 0.376
Dy3 Dy 0.000 0.500 0.196
Zn1 Zn 0.000 0.000 0.548
Zn2 Zn 0.000 0.000 0.834
Zn3 Zn 0.000 0.500 0.623
Ge1 Ge 0.000 0.500 0.755
```

Below is a relaxed structure of Dy3Zn9Ge2, with properties calculated at the PBE-GGA level.

Computed properties:
Crystal system: orthorhombic
Volume: 18.24 Å³/atom
E_form: -0.35 eV per atom
Spin magnetization: 0.000 μB per atom
Calculated total energy: -2.816 eV per atom

Geometry as CIF:
```
data_Dy3Zn9Ge2
_chemical_formula_sum 'Dy6 Zn18 Ge4'
_symmetry_space_group_name_H-M 'I m m m'
_symmetry_Int_Tables_number 71
_symmetry_space_group_name_Hall '-I 2 2'
_cell_length_a 4.294
_cell_length_b 9.721
_cell_length_c 12.236
_cell_angle_alpha 90.00
_cell_angle_beta 90.00
_cell_angle_gamma 90.00
loop_
_atom_site_label
_atom_site_type_symbol
_atom_site_fract_x
_atom_site_fract_y
_atom_site_fract_z
Dy1 Dy 0.000 0.000 0.000
Dy2 Dy 0.000 0.000 0.309
Zn1 Zn 0.000 0.271 0.145
Zn2 Zn 0.000 0.373 0.340
Zn3 Zn 0.000 0.500 0.000
Ge1 Ge 0.000 0.205 0.500
```

Below is a relaxed structure of Dy3Zn2Ge4, with properties calculated at the PBE-GGA level.

Computed properties:
Crystal system: monoclinic
Volume: 20.48 Å³/atom
E_form: -0.60 eV per atom
Spin magnetization: 0.000 μB per atom
Calculated total energy: -4.472 eV per atom

Geometry as CIF:
```
data_Dy3Zn2Ge4
_chemical_formula_sum 'Dy6 Zn4 Ge8'
_symmetry_space_group_name_H-M 'C 1 2/m 1'
_symmetry_Int_Tables_number 12
_cell_length_a 11.186
_cell_length_b 4.140
_cell_length_c 8.582
_cell_angle_alpha 90.00
_cell_angle_beta 111.99
_cell_angle_gamma 90.00
loop_
_symmetry_equiv_pos_as_xyz
'x,y,z'
'-x,-y,-z'
'-x,y,-z'
'x,-y,z'
'x+1/2,y+1/2,z'
'-x+1/2,-y+1/2,-z'
'-x+1/2,y+1/2,-z'
'x+1/2,-y+1/2,z'
loop_
_atom_site_label
_atom_site_type_symbol
_atom_site_fract_x
_atom_site_fract_y
_atom_site_fract_z
Dy1 Dy 0.000 0.000 0.000
Dy2 Dy 0.123 0.500 0.693
Zn1 Zn 0.183 0.500 0.343
Ge1 Ge 0.083 0.000 0.400
Ge2 Ge 0.212 0.500 0.064
```

Below is a relaxed structure of Dy3Zn6Ge5, with properties calculated at the PBE-GGA level.

Computed properties:
Crystal system: orthorhombic
Volume: 18.61 Å³/atom
E_form: -0.41 eV per atom
Spin magnetization: 0.000 μB per atom
Calculated total energy: -3.587 eV per atom

Geometry as CIF:
```
data_Dy3Zn6Ge5
_chemical_formula_sum 'Dy6 Zn12 Ge10'
_symmetry_space_group_name_H-M 'P m m n'
_symmetry_Int_Tables_number 59
_cell_length_a 4.093
_cell_length_b 12.297
_cell_length_c 10.351
_cell_angle_alpha 90.00
_cell_angle_beta 90.00
_cell_angle_gamma 90.00
loop_
_symmetry_equiv_pos_as_xyz
'x,y,z'
'-x,-y,-z'
'-x+1/2,-y+1/2,z'
'x+1/2,y+1/2,-z'
'x+1/2,-y,-z'
'-x+1/2,y,z'
'-x,y+1/2,-z'
'x,-y+1/2,z'
loop_
_atom_site_label
_atom_site_type_symbol
_atom_site_fract_x
_atom_site_fract_y
_atom_site_fract_z
Dy1 Dy 0.250 0.081 0.249
Dy2 Dy 0.250 0.750 0.243
Zn1 Zn 0.250 0.085 0.880
Zn2 Zn 0.250 0.250 0.030
Zn3 Zn 0.250 0.250 0.488
Zn4 Zn 0.250 0.595 0.508
Ge1 Ge 0.250 0.084 0.643
Ge2 Ge 0.250 0.611 0.975
Ge3 Ge 0.250 0.750 0.689
```

Below is a relaxed structure of Dy2Zn2Ge3, with properties calculated at the PBE-GGA level.

Computed properties:
Crystal system: orthorhombic
Volume: 20.04 Å³/atom
E_form: -0.49 eV per atom
Spin magnetization: 0.000 μB per atom
Calculated total energy: -4.145 eV per atom

Geometry as CIF:
```
data_Dy2Zn2Ge3
_chemical_formula_sum 'Dy8 Zn8 Ge12'
_symmetry_space_group_name_H-M 'C m c m'
_symmetry_Int_Tables_number 63
_symmetry_space_group_name_Hall '-C 2c 2'
_cell_length_a 4.311
_cell_length_b 19.700
_cell_length_c 6.608
_cell_angle_alpha 90.00
_cell_angle_beta 90.00
_cell_angle_gamma 90.00
loop_
_atom_site_label
_atom_site_type_symbol
_atom_site_fract_x
_atom_site_fract_y
_atom_site_fract_z
Dy1 Dy 0.000 0.037 0.250
Dy2 Dy 0.000 0.155 0.750
Zn1 Zn 0.000 0.305 0.541
Ge1 Ge 0.000 0.207 0.250
Ge2 Ge 0.000 0.432 0.055
```

Question: The lowest E_form belongs to which entry?
Answer: DyZnGe